Crystalline Pm3Sm2HoSe6 at its relaxed geometry, computed with PBE.

As for the crystal system: monoclinic. As for the density of states at the Fermi level: 0.48 states/eV/atom.

The structure belongs to space group C2/m (No. 12); the cell edges are 18.1524, 4.1467 and 8.3807 Å and the angles 90.00°, 103.47° and 90.00°. The asymmetric unit holds Pm at (0.0000, 0.0000, 0.0000), Pm at (0.1694, 0.5000, 0.3332), Sm at (0.1680, 0.5000, 0.8353), Ho at (0.0000, 0.0000, 0.5000), Se at (0.0003, 0.5000, 0.2594), Se at (0.1621, 0.0000, 0.5822) and Se at (0.1664, 0.0000, 0.0817).

---

Crystalline PmSm4HoSe8 at its relaxed geometry, computed with PBE.

As for the crystal system: trigonal. As for the density of states at the Fermi level: 0.61 states/eV/atom.

The structure belongs to space group R3m (No. 160, hexagonal axes); the cell edges are 8.5692, 8.5692 and 21.0059 Å and the angles 90.00°, 90.00° and 120.00°. The asymmetric unit holds Pm at (0.0000, 0.0000, 0.0000), Sm at (0.0000, 0.0000, 0.6240), Sm at (0.1680, 0.3360, 0.8319), Ho at (0.0000, 0.0000, 0.3737), Se at (0.0000, 0.0000, 0.2439), Se at (0.0000, 0.0000, 0.7569), Se at (0.0116, 0.5058, 0.7510) and Se at (0.1768, 0.3535, 0.5792).

---

How do the records compare in formation energy without anion corrections? In the order shown, they have -1811 -1725 meV per atom.